(1)
VASP calculation (PBE) on crystalline LiCo2Ir at its relaxed geometry.

The structure belongs to space group Cmm2 (No. 35); the cell edges are 2.715, 4.380 and 8.621 Å and the angles 90.00°, 90.00° and 90.00°. The inequivalent atoms are Li at (0.000, 0.000, 0.000), Co at (0.000, 0.000, 0.515), Co at (0.000, 0.500, 0.742) and Ir at (0.000, 0.500, 0.258).

Its formation enthalpy at 0 K is 0.129 eV per atom.

(2)
VASP calculation (PBE) on crystalline Y4Cu2C at its relaxed geometry.

The structure belongs to space group I4/mmm (No. 139); the cell edges are 4.889, 4.889 and 13.654 Å and the angles 90.00°, 90.00° and 90.00°. The inequivalent atoms are Y at (0.000, 0.000, 0.179), Y at (0.000, 0.500, 0.000), Cu at (0.000, 0.000, 0.382) and C at (0.000, 0.000, 0.000).

Its formation enthalpy at 0 K is -0.110 eV per atom.

(3)
VASP calculation (PBE) on crystalline NdY4Mg5 at its relaxed geometry.

The structure belongs to space group P4/mmm (No. 123); the cell edges are 3.815, 3.815 and 19.142 Å and the angles 90.00°, 90.00° and 90.00°. The inequivalent atoms are Nd at (0.000, 0.000, 0.000), Y at (0.000, 0.000, 0.203), Y at (0.000, 0.000, 0.401), Mg at (0.500, 0.500, 0.105), Mg at (0.500, 0.500, 0.302) and Mg at (0.500, 0.500, 0.500).

Its formation enthalpy at 0 K is -0.107 eV per atom.

(4)
VASP calculation (PBE) on crystalline La6IrPt5 at its relaxed geometry.

The structure belongs to space group C2/m (No. 12); the cell edges are 7.336, 12.709 and 7.362 Å and the angles 90.00°, 109.37° and 90.00°. The inequivalent atoms are La at (0.243, 0.000, 0.252), La at (0.244, 0.163, 0.744), Ir at (0.000, 0.000, 0.500), Pt at (0.000, 0.170, 0.000), Pt at (0.000, 0.334, 0.500) and Pt at (0.000, 0.500, 0.000).

Its formation enthalpy at 0 K is -1.082 eV per atom.

(5)
VASP calculation (PBE) on crystalline CdHPd3 at its relaxed geometry.

The structure belongs to space group P2_1/m (No. 11); the cell edges are 4.736, 5.773 and 5.023 Å and the angles 90.00°, 91.30° and 90.00°. The inequivalent atoms are Cd at (0.244, 0.250, 0.338), H at (0.376, 0.750, 0.013), Pd at (0.248, 0.005, 0.836) and Pd at (0.249, 0.750, 0.344).

As for the distance to the lowest polymorph of the same formula: 41.4 meV/atom.

(6)
VASP calculation (PBE) on crystalline Nd5Si2Au at its relaxed geometry.

The structure belongs to space group I4/mcm (No. 140); the cell edges are 7.682, 7.682 and 14.886 Å and the angles 90.00°, 90.00° and 90.00°. The inequivalent atoms are Nd at (0.000, 0.000, 0.000), Nd at (0.175, 0.325, 0.142), Si at (0.115, 0.385, 0.500) and Au at (0.000, 0.000, 0.250).

The value obtained for the raw formation energy is -0.594 eV/atom.

Values for uncorrected energy, eV/atom, ordered as above
-6.117 -6.291 -3.967 -6.801 -4.215 -5.339